PBE TaAlGe, optimized geometry; uncorrected energy = -41.425 eV for the cell shown; space group = Cmmm (65); calculated volume = 17.9 A^3/atom
1.0
2.8735 -6.4383 0.0000
2.8735 6.4383 0.0000
0.0000 0.0000 2.9082
Ta Al Ge
2 2 2
Cartesian
1.4223 0.0000 0.0000
4.3247 0.0000 0.0000
2.8735 4.4354 1.4541
2.8735 -4.4354 1.4541
2.8735 1.9152 1.4541
2.8735 -1.9152 1.4541